1.
Li2BeNi after structural relaxation. Source: Alexandria, functional GGA-PBE.

The space group is P4mm (No. 99) and the conventional cell measures 2.687, 2.687 and 7.032 Å, with angles of 90.00, 90.00 and 90.00 degrees. The asymmetric unit holds Li at (0.000, 0.000, 0.000), Li at (0.500, 0.500, 0.346), Be at (0.500, 0.500, 0.746) and Ni at (0.000, 0.000, 0.599).

The uncorrected energy is -13.60 eV for the cell shown. The formation energy is -0.07 eV per atom.



2.
NiTe2Cl after structural relaxation. Source: Alexandria, functional GGA-PBE.

The space group is C2/m (No. 12) and the conventional cell measures 6.385, 7.705 and 4.991 Å, with angles of 90.00, 129.58 and 90.00 degrees. The asymmetric unit holds Ni at (0.000, 0.000, 0.000), Te at (0.250, 0.250, 0.500) and Cl at (0.000, 0.500, 0.000).

The energy relative to the elements, uncorrected comes out at 0.21 eV per atom. The uncorrected energy is -26.12 eV for the cell shown.



3.
CsRbBa after structural relaxation. Source: Alexandria, functional GGA-PBE.

The space group is P3m1 (No. 156) and the conventional cell measures 4.7909, 4.7909 and 12.5750 Å, with angles of 90.00, 90.00 and 120.00 degrees. The asymmetric unit holds Cs at (0.0000, 0.0000, 0.0000), Rb at (0.6667, 0.3333, 0.3570) and Ba at (0.3333, 0.6667, 0.6715).

The uncorrected energy is -3.43 eV for the cell shown. As for the distance to the lowest polymorph of the same formula: 0 meV per atom. The formation energy is 0.10 eV per atom.